This record from Alexandria via LeMat-Bulk describes Zn2SbPb after structural relaxation. The functional is PBEsol.

Calculated values
The calculation puts the uncorrected formation energy at 0.20 eV per atom. The density of states at the Fermi level comes out at 0.50 states/eV/atom. The total magnetic moment comes out at 0.00 μB per atom.

Lattice parameters (Å, degrees): 3.6235 3.6235 6.6764 90.00 90.00 90.00
Last column: nearest neighbours and their distance in Å.
Space group P4/mmm (No. 123)
Inequivalent atoms, fractional coordinates:
Zn1 0.0000 0.0000 0.2165  1 Zn 2.89, 4 Sb 2.94, 4 Pb 3.19
Sb1 0.5000 0.5000 0.0000  8 Zn 2.94
Pb1 0.5000 0.5000 0.5000  8 Zn 3.19, 2 Sb 3.34